The following is a DFT calculation (PBE) of an optimized crystal structure of ZrSc3Se.

abc: 5.012 5.012 5.012
angles: 90.00 90.00 90.00
Sites, in units of the cell vectors:
Sc: 0.000 0.500 0.000
Sc: 0.000 0.000 0.500
Sc: 0.500 0.000 0.000
Se: 0.000 0.000 0.000
Zr: 0.500 0.500 0.500

Results
- Relative energy among the computed polymorphs: 0.000 eV per atom
- E_tot: -6.454 eV per atom
- N(E_F): 2.1357 states/eV per atom
- Uncorrected formation energy: -0.25 eV per atom


The following is a DFT calculation (PBE) of an optimized crystal structure of Na2Mg2Pt.

abc: 6.823 6.823 5.465
angles: 90.00 90.00 90.00
Sites, in units of the cell vectors:
Na: 0.181 0.681 0.500
Na: 0.681 0.819 0.500
Na: 0.819 0.319 0.500
Na: 0.319 0.181 0.500
Mg: 0.339 0.839 0.000
Mg: 0.839 0.661 0.000
Mg: 0.661 0.161 0.000
Mg: 0.161 0.339 0.000
Pt: 0.000 0.000 0.000
Pt: 0.500 0.500 0.000

Results
- E_tot: -2.522 eV per atom
- N(E_F): 0.3941 states/eV per atom
- Formation energy from the elements: -0.1488 eV/atom


The following is a DFT calculation (PBE) of an optimized crystal structure of Pa2SiAu.

abc: 5.039 5.039 5.039
angles: 60.00 60.00 60.00
Sites, in units of the cell vectors:
Si: 0.500 0.500 0.500
Pa: 0.250 0.250 0.250
Pa: 0.750 0.750 0.750
Au: 0.000 0.000 0.000

Results
- Relative energy among the computed polymorphs: 0.205 eV per atom
- E_tot: -7.043 eV per atom
- N(E_F): 2.5077 states/eV per atom
- Uncorrected formation energy: -0.12 eV per atom


The following is a DFT calculation (PBE) of an optimized crystal structure of BeCoB2.

abc: 5.590 5.590 4.451
angles: 51.10 51.10 90.00
Sites, in units of the cell vectors:
Be: 0.500 0.500 0.000
Be: 0.250 0.750 0.500
B: 0.626 0.125 0.250
B: 0.124 0.625 0.250
B: 0.375 0.374 0.750
B: 0.875 0.876 0.750
Co: 0.000 0.000 0.000
Co: 0.750 0.250 0.500

Results
- Relative energy among the computed polymorphs: 0.598 eV per atom
- E_tot: -5.386 eV per atom
- N(E_F): 0.6177 states/eV per atom
- Formation energy from the elements: 0.6606 eV/atom


Repeat the fourth record exactly.
The following is a DFT calculation (PBE) of an optimized crystal structure of BeCoB2.

abc: 5.590 5.590 4.451
angles: 51.10 51.10 90.00
Sites, in units of the cell vectors:
Be: 0.500 0.500 0.000
Be: 0.250 0.750 0.500
B: 0.626 0.125 0.250
B: 0.124 0.625 0.250
B: 0.375 0.374 0.750
B: 0.875 0.876 0.750
Co: 0.000 0.000 0.000
Co: 0.750 0.250 0.500

Results
- Relative energy among the computed polymorphs: 0.598 eV per atom
- E_tot: -5.386 eV per atom
- N(E_F): 0.6177 states/eV per atom
- Formation energy from the elements: 0.6606 eV/atom